Record 1
# MgTc2SbO

Crystalline MgTc2SbO at its relaxed geometry (PBE, the Alexandria database).

Properties
total magnetization: 6.2 μB per cell
uncorrected formation energy: 170.0 kJ/mol of atoms

Lattice parameters (Å, degrees): 5.0063 5.0063 5.3533 90.00 90.00 90.00
Positions (direct):
Mg (0.0000, 0.0000, 0.0000)
Tc (0.0000, 0.5000, 0.5000)
Tc (0.5000, 0.0000, 0.5000)
Sb (0.0000, 0.0000, 0.5000)
O (0.5000, 0.5000, 0.0000)

Record 2
# MgTiSbO6

Crystalline MgTiSbO6 at its relaxed geometry (PBE, the Alexandria database).

Properties
total magnetization: 2.1 μB per cell
uncorrected formation energy: -195.0 kJ/mol of atoms

Lattice parameters (Å, degrees): 5.2064 5.2064 8.9178 90.00 90.00 120.00
Positions (direct):
Mg (0.0000, 0.0000, 0.0000)
Mg (0.0000, 0.0000, 0.5000)
Ti (0.3333, 0.6667, 0.2500)
Ti (0.6667, 0.3333, 0.7500)
Sb (0.3333, 0.6667, 0.7500)
Sb (0.6667, 0.3333, 0.2500)
O (0.0045, 0.3512, 0.1319)
O (0.0045, 0.6532, 0.3681)
O (0.3468, 0.3512, 0.3681)
O (0.3468, 0.9955, 0.1319)
O (0.3512, 0.0045, 0.6319)
O (0.3512, 0.3468, 0.8681)
O (0.6488, 0.6532, 0.1319)
O (0.6488, 0.9955, 0.3681)
O (0.6532, 0.0045, 0.8681)
O (0.6532, 0.6488, 0.6319)
O (0.9955, 0.3468, 0.6319)
O (0.9955, 0.6488, 0.8681)

Record 3
# Mg2TiSbO6

Crystalline Mg2TiSbO6 at its relaxed geometry (PBE, the Alexandria database).

Properties
energy relative to the lowest polymorph listed for this composition: 0.0 meV per atom
total magnetization: 0.0 μB per cell
uncorrected formation energy: -220.6 kJ/mol of atoms

Lattice parameters (Å, degrees): 5.2564 7.7653 5.4093 90.00 91.17 90.00
Positions (direct):
Mg (0.0052, 0.2500, 0.0365)
Mg (0.4912, 0.7500, 0.4403)
Mg (0.5088, 0.2500, 0.5597)
Mg (0.9948, 0.7500, 0.9635)
Ti (0.5000, 0.0000, 0.0000)
Ti (0.5000, 0.5000, 0.0000)
Sb (0.0000, 0.0000, 0.5000)
Sb (0.0000, 0.5000, 0.5000)
O (0.1309, 0.2500, 0.4214)
O (0.1859, 0.5704, 0.1736)
O (0.1859, 0.9296, 0.1736)
O (0.3378, 0.5695, 0.6846)
O (0.3378, 0.9305, 0.6846)
O (0.3726, 0.2500, 0.9266)
O (0.6274, 0.7500, 0.0734)
O (0.6622, 0.0695, 0.3154)
O (0.6622, 0.4305, 0.3154)
O (0.8141, 0.0704, 0.8264)
O (0.8141, 0.4296, 0.8264)
O (0.8691, 0.7500, 0.5786)

Record 4
# Mg2TiSbO6

Crystalline Mg2TiSbO6 at its relaxed geometry (PBE, the Alexandria database).

Properties
energy relative to the lowest polymorph listed for this composition: 180.7 meV per atom
total magnetization: 0.0 μB per cell
uncorrected formation energy: -203.2 kJ/mol of atoms

Lattice parameters (Å, degrees): 5.3701 5.3701 4.8659 90.00 90.00 90.00
Positions (direct):
Mg (0.0000, 0.5000, 0.0000)
Mg (0.5000, 0.0000, 0.0000)
Ti (0.0000, 0.0000, 0.6753)
Sb (0.5000, 0.5000, 0.6541)
O (0.0000, 0.0000, 0.3212)
O (0.2442, 0.2442, 0.8187)
O (0.2442, 0.7558, 0.8187)
O (0.5000, 0.5000, 0.2540)
O (0.7558, 0.2442, 0.8187)
O (0.7558, 0.7558, 0.8187)

Record 5
# MgTlSb2O

Crystalline MgTlSb2O at its relaxed geometry (PBE, the Alexandria database).

Properties
total magnetization: 0.0 μB per cell
uncorrected formation energy: 39.8 kJ/mol of atoms

Lattice parameters (Å, degrees): 5.8803 5.8803 4.0983 90.00 90.00 90.00
Positions (direct):
Mg (0.0000, 0.0000, 0.0000)
Tl (0.5000, 0.5000, 0.5000)
Sb (0.0000, 0.5000, 0.5000)
Sb (0.5000, 0.0000, 0.5000)
O (0.5000, 0.5000, 0.0000)

Record 6
# MgTl2SbO6

Crystalline MgTl2SbO6 at its relaxed geometry (PBE, the Alexandria database).

Properties
total magnetization: 0.0 μB per cell
uncorrected formation energy: -107.8 kJ/mol of atoms

Lattice parameters (Å, degrees): 5.3882 5.3882 4.9624 90.00 90.00 90.00
Positions (direct):
Mg (0.0000, 0.0000, 0.0000)
Tl (0.0000, 0.5000, 0.4363)
Tl (0.5000, 0.0000, 0.4363)
Sb (0.5000, 0.5000, 0.0143)
O (0.0000, 0.0000, 0.5957)
O (0.2543, 0.2543, 0.1362)
O (0.2543, 0.7457, 0.1362)
O (0.5000, 0.5000, 0.6243)
O (0.7457, 0.2543, 0.1362)
O (0.7457, 0.7457, 0.1362)

Question: What is the total magnetization in the sixth record?
Answer: 0.0 μB per cell

Question: Among the records above, which one has the lowest uncorrected formation energy?
Answer: number 3

Question: What is the formula in the fourth record?
Answer: Mg2TiSbO6